1.
SrLa2Fe | Alexandria | PBE | relaxed; space group = No. 71; energy of formation = 4.43 kcal/mol of atoms; total moment = 0.00 μB/cell; total DFT energy (no corrections) = -19.2 eV/f.u.
1.0
-1.058 0.817 6.440
5.569 -0.529 3.460
-3.360 3.359 -4.549
Fe La Sr
1 2 1
direct
0.750 0.250 0.500
0.918 0.918 0.000
0.582 0.582 0.000
0.250 0.750 0.500

2.
Sr2LaFe | Alexandria | PBE | relaxed; space group = No. 71; energy of formation = 7.92 kcal/mol of atoms; total moment = 1.55 μB/cell; total DFT energy (no corrections) = -15.4 eV/f.u.
1.0
-8.379 4.652 1.788
-9.606 1.353 0.969
-0.695 -0.805 4.283
Fe La Sr
1 1 2
direct
0.750 0.750 0.750
0.250 0.250 0.250
0.089 0.089 0.911
0.411 0.411 0.589

3.
SrLa2Fe | Alexandria | PBE | relaxed; space group = No. 99; energy of formation = 6.51 kcal/mol of atoms; total moment = 0.00 μB/cell; total DFT energy (no corrections) = -18.9 eV/f.u.
1.0
3.975 0.000 0.000
0.000 3.976 0.000
0.000 0.000 9.351
Fe La Sr
1 2 1
direct
0.500 0.500 0.933
0.000 0.000 0.902
0.500 0.500 0.169
0.000 0.000 0.496

4.
SrLa2Fe | Alexandria | PBE | relaxed; space group = No. 38; energy of formation = 4.36 kcal/mol of atoms; total moment = 0.00 μB/cell; total DFT energy (no corrections) = -19.2 eV/f.u.
1.0
3.879 0.000 0.000
0.000 4.289 -0.014
0.000 2.171 8.408
Fe La Sr
1 2 1
direct
0.500 0.483 0.909
0.000 0.992 0.890
0.500 0.352 0.170
0.000 0.672 0.531